Density functional theory data (PBE) for crystalline HfGaAu2 at its relaxed geometry.

The structure belongs to space group I-42d (No. 122); the cell edges are 4.0557, 4.0557 and 19.2073 Å and the angles 90.00°, 90.00° and 90.00°. The inequivalent atoms are Hf at (0.0000, 0.0000, 0.0000), Ga at (0.0000, 0.0000, 0.5000) and Au at (0.2418, 0.2500, 0.6250).

The value obtained for the size of the total moment is 0.00 μB per formula unit. Its formation energy is -140 meV per atom.